Compound: Pm2InSn
Source: Alexandria via LeMat-Bulk
Functional: SCAN
Structure: single point on PBEsol structure

Summary:
Total magnetic moment, μB per formula unit: 0.0
Space-group type: No. 225
Energy relative to the elements, eV/atom: -0.68
Crystal system: cubic
Electronic total energy, eV/atom: -40.00

a b c (Å): 7.581 7.581 7.581
angles (deg): 90.00 90.00 90.00
Sites, in units of the cell vectors:
Pm 0.250 0.250 0.250
Pm 0.250 0.250 0.750
Pm 0.250 0.750 0.250
Pm 0.250 0.750 0.750
Pm 0.750 0.250 0.250
Pm 0.750 0.250 0.750
Pm 0.750 0.750 0.250
Pm 0.750 0.750 0.750
In 0.000 0.000 0.000
In 0.000 0.500 0.500
In 0.500 0.000 0.500
In 0.500 0.500 0.000
Sn 0.000 0.000 0.500
Sn 0.000 0.500 0.000
Sn 0.500 0.000 0.000
Sn 0.500 0.500 0.500